DFT (PBE) results for a relaxed structure of CrCoMo2.

a b c (Å): 9.1559 9.1559 9.1559
angles (deg): 16.72 16.72 16.72
Fractional coordinates of all 4 atoms:
Cr: 0.0000 0.0000 0.0000
Co: 0.5000 0.5000 0.5000
Mo: 0.2469 0.2469 0.2469
Mo: 0.7531 0.7531 0.7531

Summary:
E_tot	-36.899	eV/cell
space group	R-3m
energy above the lowest structure with this stoichiometry	249	meV/atom
total magnetization	0.99	Bohr magnetons per cell
formation energy	0.373	eV/atom


DFT (PBE) results for a relaxed structure of CrCoMo2.

a b c (Å): 4.9432 4.9432 4.9432
angles (deg): 143.59 129.29 64.02
Fractional coordinates of all 4 atoms:
Cr: 0.0000 0.0000 0.0000
Co: 0.7486 0.2486 0.5000
Mo: 0.2346 0.7346 0.5000
Mo: 0.4876 0.4876 0.0000

Summary:
E_tot	-37.666	eV/cell
space group	Imm2
energy above the lowest structure with this stoichiometry	57	meV/atom
total magnetization	1.45	Bohr magnetons per cell
formation energy	0.181	eV/atom


DFT (PBE) results for a relaxed structure of CrCoMo.

a b c (Å): 3.9899 3.9899 3.9899
angles (deg): 60.00 60.00 60.00
Fractional coordinates of all 3 atoms:
Cr: 0.0000 0.0000 0.0000
Co: 0.7500 0.7500 0.7500
Mo: 0.5000 0.5000 0.5000

Summary:
E_tot	-25.601	eV/cell
space group	F-43m
energy above the lowest structure with this stoichiometry	654	meV/atom
total magnetization	2.85	Bohr magnetons per cell
formation energy	0.653	eV/atom


DFT (PBE) results for a relaxed structure of CrCoMo2.

a b c (Å): 2.6133 4.2763 4.9775
angles (deg): 90.00 99.50 90.00
Fractional coordinates of all 4 atoms:
Cr: 0.0000 0.0000 0.0000
Co: 0.2300 0.5000 0.7479
Mo: 0.5262 0.0000 0.5120
Mo: 0.7622 0.5000 0.2318

Summary:
E_tot	-37.702	eV/cell
space group	Pm
energy above the lowest structure with this stoichiometry	48	meV/atom
total magnetization	1.93	Bohr magnetons per cell
formation energy	0.172	eV/atom


DFT (PBE) results for a relaxed structure of CrCoMo2.

a b c (Å): 2.6183 4.1575 5.1362
angles (deg): 90.00 101.19 90.00
Fractional coordinates of all 4 atoms:
Cr: 0.0000 0.0000 0.0000
Co: 0.5000 0.0000 0.5000
Mo: 0.2335 0.5000 0.7515
Mo: 0.7665 0.5000 0.2485

Summary:
E_tot	-37.657	eV/cell
space group	P2/m
energy above the lowest structure with this stoichiometry	59	meV/atom
total magnetization	1.61	Bohr magnetons per cell
formation energy	0.184	eV/atom


DFT (PBE) results for a relaxed structure of CrCoMo2.

a b c (Å): 4.9388 4.9388 2.6224
angles (deg): 99.46 99.46 115.42
Fractional coordinates of all 4 atoms:
Cr: 0.0000 0.0000 0.0000
Co: 0.5000 0.5000 0.0000
Mo: 0.0000 0.5000 0.5000
Mo: 0.5000 0.0000 0.5000

Summary:
E_tot	-37.677	eV/cell
space group	C2/m
energy above the lowest structure with this stoichiometry	54	meV/atom
total magnetization	2.08	Bohr magnetons per cell
formation energy	0.179	eV/atom


DFT (PBE) results for a relaxed structure of CrCoMo2.

a b c (Å): 4.7003 4.7003 4.6313
angles (deg): 100.67 100.67 32.71
Fractional coordinates of all 4 atoms:
Cr: 0.0000 0.0000 0.0000
Co: 0.2846 0.2846 0.7342
Mo: 0.5402 0.5402 0.5337
Mo: 0.7659 0.7659 0.2251

Summary:
E_tot	-37.555	eV/cell
space group	Cm
energy above the lowest structure with this stoichiometry	85	meV/atom
total magnetization	0.00	Bohr magnetons per cell
formation energy	0.209	eV/atom


DFT (PBE) results for a relaxed structure of Cr3CoMo.

a b c (Å): 4.1607 4.1607 4.1607
angles (deg): 90.00 90.00 90.00
Fractional coordinates of all 5 atoms:
Cr: 0.0000 0.0000 0.5000
Cr: 0.0000 0.5000 0.0000
Cr: 0.5000 0.0000 0.0000
Co: 0.0000 0.0000 0.0000
Mo: 0.5000 0.5000 0.5000

Summary:
E_tot	-40.595	eV/cell
space group	Pm-3m
total magnetization	0.00	Bohr magnetons per cell
formation energy	1.242	eV/atom


DFT (PBE) results for a relaxed structure of CrCo4Mo.

a b c (Å): 4.3940 4.3940 5.0878
angles (deg): 106.81 106.81 48.01
Fractional coordinates of all 6 atoms:
Cr: 0.0000 0.0000 0.0000
Co: 0.3265 0.3265 0.1545
Co: 0.3336 0.3336 0.6756
Co: 0.6664 0.6664 0.3244
Co: 0.6735 0.6735 0.8455
Mo: 0.0000 0.0000 0.5000

Summary:
E_tot	-48.516	eV/cell
space group	C2/m
energy above the lowest structure with this stoichiometry	0	meV/atom
total magnetization	2.18	Bohr magnetons per cell
formation energy	0.060	eV/atom


DFT (PBE) results for a relaxed structure of CrCoMo2.

a b c (Å): 4.5519 4.5519 2.7152
angles (deg): 90.00 90.00 105.99
Fractional coordinates of all 4 atoms:
Cr: 0.0000 0.0000 0.0000
Co: 0.5000 0.5000 0.0000
Mo: 0.0000 0.5000 0.5000
Mo: 0.5000 0.0000 0.5000

Summary:
E_tot	-37.507	eV/cell
space group	Cmmm
energy above the lowest structure with this stoichiometry	97	meV/atom
total magnetization	0.00	Bohr magnetons per cell
formation energy	0.221	eV/atom


DFT (PBE) results for a relaxed structure of CrCo4Mo.

a b c (Å): 4.0275 4.0275 5.0131
angles (deg): 90.00 90.00 120.00
Fractional coordinates of all 6 atoms:
Cr: 0.0000 0.0000 0.0000
Co: 0.3333 0.6667 0.2408
Co: 0.3333 0.6667 0.7592
Co: 0.6667 0.3333 0.2408
Co: 0.6667 0.3333 0.7592
Mo: 0.0000 0.0000 0.5000

Summary:
E_tot	-48.141	eV/cell
space group	P6/mmm
energy above the lowest structure with this stoichiometry	63	meV/atom
total magnetization	4.11	Bohr magnetons per cell
formation energy	0.123	eV/atom


DFT (PBE) results for a relaxed structure of CrCoMo3.

a b c (Å): 4.4066 4.4066 4.4066
angles (deg): 90.00 90.00 90.00
Fractional coordinates of all 5 atoms:
Cr: 0.0000 0.0000 0.0000
Co: 0.5000 0.5000 0.5000
Mo: 0.0000 0.0000 0.5000
Mo: 0.0000 0.5000 0.0000
Mo: 0.5000 0.0000 0.0000

Summary:
E_tot	-41.985	eV/cell
space group	Pm-3m
energy above the lowest structure with this stoichiometry	0	meV/atom
total magnetization	0.00	Bohr magnetons per cell
formation energy	1.448	eV/atom


DFT (PBE) results for a relaxed structure of CrCoMo2.

a b c (Å): 3.0423 3.0423 5.8870
angles (deg): 90.00 90.00 90.00
Fractional coordinates of all 4 atoms:
Cr: 0.0000 0.0000 0.0000
Co: 0.0000 0.0000 0.5000
Mo: 0.5000 0.5000 0.2459
Mo: 0.5000 0.5000 0.7541

Summary:
E_tot	-37.737	eV/cell
space group	P4/mmm
energy above the lowest structure with this stoichiometry	39	meV/atom
total magnetization	1.61	Bohr magnetons per cell
formation energy	0.164	eV/atom


DFT (PBE) results for a relaxed structure of CrCoMo2.

a b c (Å): 5.3872 5.3872 5.3872
angles (deg): 103.17 103.17 122.99
Fractional coordinates of all 8 atoms:
Cr: 0.0000 0.0000 0.0000
Cr: 0.7500 0.2500 0.5000
Co: 0.2500 0.7500 0.5000
Co: 0.5000 0.5000 0.0000
Mo: 0.1327 0.1250 0.5077
Mo: 0.3750 0.8673 0.9923
Mo: 0.6173 0.6250 0.4923
Mo: 0.8750 0.3827 0.0077

Summary:
E_tot	-71.140	eV/cell
space group	I-42d
energy above the lowest structure with this stoichiometry	581	meV/atom
total magnetization	0.00	Bohr magnetons per cell
formation energy	0.705	eV/atom


DFT (PBE) results for a relaxed structure of CrCoMo.

a b c (Å): 3.6635 6.0192 6.0192
angles (deg): 34.96 90.00 90.00
Fractional coordinates of all 6 atoms:
Cr: 0.0000 0.0000 0.0000
Cr: 0.0000 0.3345 0.3345
Co: 0.5000 0.1811 0.1811
Co: 0.5000 0.8321 0.8321
Mo: 0.0000 0.6815 0.6815
Mo: 0.5000 0.4997 0.4997

Summary:
E_tot	-54.209	eV/cell
space group	Amm2
energy above the lowest structure with this stoichiometry	153	meV/atom
total magnetization	0.00	Bohr magnetons per cell
formation energy	0.152	eV/atom


DFT (PBE) results for a relaxed structure of CrCoMo2.

a b c (Å): 2.6181 3.7807 5.4960
angles (deg): 90.00 90.00 90.00
Fractional coordinates of all 4 atoms:
Cr: 0.0000 0.0000 0.0000
Co: 0.0000 0.0000 0.5000
Mo: 0.5000 0.5000 0.2553
Mo: 0.5000 0.5000 0.7447

Summary:
E_tot	-37.396	eV/cell
space group	Pmmm
energy above the lowest structure with this stoichiometry	124	meV/atom
total magnetization	0.00	Bohr magnetons per cell
formation energy	0.249	eV/atom


DFT (PBE) results for a relaxed structure of CrCoMo2.

a b c (Å): 3.1200 4.1924 4.2360
angles (deg): 90.00 90.00 90.00
Fractional coordinates of all 4 atoms:
Cr: 0.0000 0.0000 0.0000
Co: 0.5000 0.0000 0.5000
Mo: 0.0000 0.5000 0.5000
Mo: 0.5000 0.5000 0.0000

Summary:
E_tot	-37.744	eV/cell
space group	Pmmm
energy above the lowest structure with this stoichiometry	37	meV/atom
total magnetization	2.81	Bohr magnetons per cell
formation energy	0.162	eV/atom


DFT (PBE) results for a relaxed structure of CrCoMo2.

a b c (Å): 4.9032 4.9032 4.9032
angles (deg): 142.71 128.63 65.18
Fractional coordinates of all 4 atoms:
Cr: 0.0000 0.0000 0.0000
Co: 0.5000 0.5000 0.0000
Mo: 0.2416 0.7416 0.5000
Mo: 0.7584 0.2584 0.5000

Summary:
E_tot	-37.669	eV/cell
space group	Immm
energy above the lowest structure with this stoichiometry	56	meV/atom
total magnetization	1.97	Bohr magnetons per cell
formation energy	0.181	eV/atom


DFT (PBE) results for a relaxed structure of CrCoMo2.

a b c (Å): 2.6345 2.6345 8.1244
angles (deg): 90.00 90.00 106.00
Fractional coordinates of all 4 atoms:
Cr: 0.0000 0.0000 0.0000
Co: 0.0000 0.0000 0.5000
Mo: 0.5000 0.5000 0.2584
Mo: 0.5000 0.5000 0.7416

Summary:
E_tot	-37.848	eV/cell
space group	Cmmm
energy above the lowest structure with this stoichiometry	12	meV/atom
total magnetization	0.00	Bohr magnetons per cell
formation energy	0.136	eV/atom


DFT (PBE) results for a relaxed structure of Cr4CoMo.

a b c (Å): 4.7187 4.7187 4.7187
angles (deg): 60.00 60.00 60.00
Fractional coordinates of all 6 atoms:
Cr: 0.3758 0.3758 0.3758
Cr: 0.3758 0.3758 0.8727
Cr: 0.3758 0.8727 0.3758
Cr: 0.8727 0.3758 0.3758
Co: 0.0000 0.0000 0.0000
Mo: 0.7500 0.7500 0.7500

Summary:
E_tot	-55.354	eV/cell
space group	F-43m
total magnetization	0.55	Bohr magnetons per cell
formation energy	0.179	eV/atom


DFT (PBE) results for a relaxed structure of CrCoMo.

a b c (Å): 4.8630 4.8630 5.1717
angles (deg): 121.17 121.17 49.62
Fractional coordinates of all 6 atoms:
Cr: 0.1839 0.1839 0.3374
Cr: 0.8161 0.8161 0.6626
Co: 0.1514 0.1514 0.8344
Co: 0.8486 0.8486 0.1656
Mo: 0.5000 0.5000 0.0000
Mo: 0.5000 0.5000 0.5000

Summary:
E_tot	-54.155	eV/cell
space group	C2/m
energy above the lowest structure with this stoichiometry	162	meV/atom
total magnetization	0.00	Bohr magnetons per cell
formation energy	0.161	eV/atom


DFT (PBE) results for a relaxed structure of CrCoMo2.

a b c (Å): 2.5895 3.7579 5.6245
angles (deg): 90.00 90.00 90.00
Fractional coordinates of all 4 atoms:
Cr: 0.0000 0.0000 0.0000
Co: 0.5000 0.5000 0.7924
Mo: 0.0000 0.0000 0.5536
Mo: 0.5000 0.5000 0.2598

Summary:
E_tot	-37.281	eV/cell
space group	Pmm2
energy above the lowest structure with this stoichiometry	153	meV/atom
total magnetization	0.00	Bohr magnetons per cell
formation energy	0.278	eV/atom


DFT (PBE) results for a relaxed structure of CrCoMo2.

a b c (Å): 4.2811 4.2811 4.2811
angles (deg): 60.00 60.00 60.00
Fractional coordinates of all 4 atoms:
Cr: 0.0000 0.0000 0.0000
Co: 0.7500 0.7500 0.7500
Mo: 0.2500 0.2500 0.2500
Mo: 0.5000 0.5000 0.5000

Summary:
E_tot	-37.656	eV/cell
space group	F-43m
energy above the lowest structure with this stoichiometry	60	meV/atom
total magnetization	3.01	Bohr magnetons per cell
formation energy	0.184	eV/atom


DFT (PBE) results for a relaxed structure of CrCoMo2.

a b c (Å): 2.6230 2.6230 8.0823
angles (deg): 90.00 90.00 103.12
Fractional coordinates of all 4 atoms:
Cr: 0.0000 0.0000 0.0000
Co: 0.5000 0.5000 0.2068
Mo: 0.0000 0.0000 0.4511
Mo: 0.5000 0.5000 0.7378

Summary:
E_tot	-37.894	eV/cell
space group	Cmm2
energy above the lowest structure with this stoichiometry	0	meV/atom
total magnetization	0.00	Bohr magnetons per cell
formation energy	0.124	eV/atom


DFT (PBE) results for a relaxed structure of CrCoMo2N.

a b c (Å): 4.0590 4.0590 3.7473
angles (deg): 90.00 90.00 90.00
Fractional coordinates of all 5 atoms:
Cr: 0.0000 0.0000 0.0000
Co: 0.5000 0.5000 0.0000
Mo: 0.0000 0.5000 0.5000
Mo: 0.5000 0.0000 0.5000
N: 0.0000 0.0000 0.5000

Summary:
E_tot	-46.905	eV/cell
space group	P4/mmm
total magnetization	0.13	Bohr magnetons per cell


DFT (PBE) results for a relaxed structure of CrCoNiMo.

a b c (Å): 4.1290 4.1290 4.1290
angles (deg): 60.00 60.00 60.00
Fractional coordinates of all 4 atoms:
Cr: 0.0000 0.0000 0.0000
Co: 0.5000 0.5000 0.5000
Ni: 0.2500 0.2500 0.2500
Mo: 0.7500 0.7500 0.7500

Summary:
E_tot	-32.768	eV/cell
space group	F-43m
total magnetization	2.88	Bohr magnetons per cell
formation energy	0.143	eV/atom